Computed, not measured: a relaxed structure of Li2AlZn3Au2 at the PBE-GGA level of DFT.

Cell: 4.3909 4.3909 6.2170 Å, 90.00 90.00 90.00°
Element x y z (fractional)
Li (0.0000, 0.5000, 0.2401)
Li (0.5000, 0.0000, 0.7599)
Al (0.0000, 0.0000, 0.5000)
Zn (0.0000, 0.0000, 0.0000)
Zn (0.5000, 0.5000, 0.0000)
Zn (0.5000, 0.5000, 0.5000)
Au (0.0000, 0.5000, 0.7435)
Au (0.5000, 0.0000, 0.2565)

Summary:
V: 119.9 Å³/cell
E: -2.63 eV/atom
SG: P-4m2 (115)

***

Computed, not measured: a relaxed structure of Li2AlZnAu4 at the PBE-GGA level of DFT.

Cell: 4.4554 4.4554 6.2608 Å, 90.00 90.00 90.00°
Element x y z (fractional)
Li (0.0000, 0.0000, 0.0000)
Li (0.5000, 0.5000, 0.5000)
Al (0.0000, 0.0000, 0.5000)
Zn (0.5000, 0.5000, 0.0000)
Au (0.0000, 0.5000, 0.2547)
Au (0.0000, 0.5000, 0.7473)
Au (0.5000, 0.0000, 0.2527)
Au (0.5000, 0.0000, 0.7453)

Summary:
V: 124.3 Å³/cell
E: -3.23 eV/atom
SG: P-4m2 (115)

***

Computed, not measured: a relaxed structure of LuAl2Au at the PBE-GGA level of DFT.

Cell: 6.7346 6.7346 6.7346 Å, 90.00 90.00 90.00°
Element x y z (fractional)
Lu (0.0000, 0.0000, 0.0000)
Lu (0.0000, 0.5000, 0.5000)
Lu (0.5000, 0.0000, 0.5000)
Lu (0.5000, 0.5000, 0.0000)
Al (0.0000, 0.0000, 0.5000)
Al (0.0000, 0.5000, 0.0000)
Al (0.2500, 0.2500, 0.2500)
Al (0.2500, 0.7500, 0.7500)
Al (0.5000, 0.0000, 0.0000)
Al (0.5000, 0.5000, 0.5000)
Al (0.7500, 0.2500, 0.7500)
Al (0.7500, 0.7500, 0.2500)
Au (0.2500, 0.2500, 0.7500)
Au (0.2500, 0.7500, 0.2500)
Au (0.7500, 0.2500, 0.2500)
Au (0.7500, 0.7500, 0.7500)

Summary:
V: 305.5 Å³/cell
E: -4.23 eV/atom
SG: F-43m (216)